No. 1
The following is a DFT calculation (PBE) of a relaxed structure of Er5Tl4Pb.

Lattice parameters (Å, degrees): 3.618 3.618 20.533 90.00 90.00 90.00
Space group P4/mmm (No. 123)
Asymmetric unit:
Er1 0.000 0.000 0.000 x1
Er2 0.000 0.000 0.199 x2
Er3 0.000 0.000 0.398 x2
Tl1 0.500 0.500 0.099 x2
Tl2 0.500 0.500 0.297 x2
Pb1 0.500 0.500 0.500 x1

Computed properties:
density	11.5	g/cm³
formation energy	-0.322	eV per atom

=====

No. 2
The following is a DFT calculation (PBE) of a relaxed structure of Tm2Pd4Au.

Lattice parameters (Å, degrees): 3.930 3.930 18.140 90.00 90.00 90.00
Space group I4/mmm (No. 139)
Asymmetric unit:
Tm1 0.000 0.000 0.113 x4
Pd1 0.000 0.000 0.355 x4
Pd2 0.000 0.500 0.250 x4
Au1 0.000 0.000 0.500 x2

Computed properties:
density	11.4	g/cm³
formation energy	-0.719	eV per atom

=====

No. 3
The following is a DFT calculation (PBE) of a relaxed structure of LaNbTe2I.

Lattice parameters (Å, degrees): 5.482 5.482 5.466 90.00 90.00 90.00
Space group P4/mmm (No. 123)
Asymmetric unit:
La1 0.000 0.000 0.000 x1
Nb1 0.500 0.500 0.500 x1
Te1 0.000 0.500 0.500 x2
I1 0.500 0.500 0.000 x1

Computed properties:
density	6.2	g/cm³
energy above the lowest structure with this stoichiometry	0	meV per atom
formation energy without anion corrections	-1.60	eV/f.u.

=====

No. 4
The following is a DFT calculation (PBE) of a relaxed structure of Cs4UI7.

Lattice parameters (Å, degrees): 19.507 6.257 12.939 90.00 105.44 90.00
Space group C2/m (No. 12)
Asymmetric unit:
Cs1 0.013 0.000 0.204 x4
Cs2 0.249 0.500 0.179 x4
U1 0.000 0.500 0.500 x2
I1 0.000 0.000 0.500 x2
I2 0.113 0.500 0.723 x4
I3 0.116 0.500 0.373 x4
I4 0.147 0.000 0.040 x4

Computed properties:
density	3.6	g/cm³
formation energy without anion corrections	-15.53	eV/f.u.

=====

Question: The lowest density belongs to which entry?
Answer: Cs4UI7

=====

Question: Look up the density of the second one.
Answer: 11.4 g/cm³